{
  "formula": "NaInPCl2",
  "functional": "PBEsol",
  "state": "relaxed",
  "e_form_raw_mev_per_atom": -419,
  "sg": "P4/mmm",
  "lattice": [[-1.1337, 3.3653, 3.5227], [-2.0635, -3.8356, 3.0001], [4.7197, -0.7733, 2.2577]],
  "species": ["P", "Cl", "Cl", "In", "Na"],
  "frac_coords": [[0.5000, 0.0000, 0.0000], [0.0000, 0.5000, 0.0000], [0.0000, 0.0000, 0.5000], [0.0000, 0.0000, 0.0000], [0.5000, 0.5000, 0.5000]]
}

=====

{
  "formula": "PrCrO3",
  "functional": "PBEsol",
  "state": "relaxed",
  "e_form_raw_mev_per_atom": -2643,
  "sg": "Pm-3m",
  "lattice": [[-3.0519, 2.1450, 0.8659], [-1.4615, -2.8991, 2.0307], [1.7930, 1.2879, 3.1291]],
  "species": ["O", "O", "O", "Cr", "Pr"],
  "frac_coords": [[0.0000, 0.5000, 0.0000], [0.5000, 0.0000, 0.0000], [0.0000, 0.0000, 0.5000], [0.0000, 0.0000, 0.0000], [0.5000, 0.5000, 0.5000]]
}

=====

{
  "formula": "BeNiRh2",
  "functional": "PBEsol",
  "state": "relaxed",
  "formation_enthalpy_0k_mev_per_atom": -234,
  "sg": "P4/mmm",
  "lattice": [[-2.6241, -0.5868, -0.3673], [0.4571, -0.3873, -2.6470], [1.1737, -5.9177, 1.0687]],
  "species": ["Rh", "Rh", "Be", "Ni"],
  "frac_coords": [[0.0000, 0.0000, 0.7764], [0.0000, 0.0000, 0.2236], [0.5000, 0.5000, 0.0000], [0.5000, 0.5000, 0.5000]]
}

=====

{
  "formula": "Ba2CdTc",
  "functional": "PBEsol",
  "state": "relaxed",
  "formation_enthalpy_0k_mev_per_atom": 673,
  "e_above_lowest_polymorph_ev_per_atom": 0.1670,
  "sg": "I4/mmm",
  "lattice": [[5.5653, 0.0000, 0.0000], [-2.7827, 4.8022, 0.1266], [0.0000, 3.1031, 4.6200]],
  "species": ["Ba", "Ba", "Cd", "Tc"],
  "frac_coords": [[0.2500, 0.5000, 0.2500], [0.7500, 0.5000, 0.7500], [0.5000, 0.0000, 0.5000], [0.0000, 0.0000, 0.0000]]
}

=====

{
  "formula": "Sc3CdFe",
  "functional": "PBEsol",
  "state": "relaxed",
  "formation_enthalpy_0k_mev_per_atom": 1084,
  "sg": "Pm-3m",
  "lattice": [[5.1517, 0.0000, 0.0000], [0.0000, 5.1517, 0.0000], [0.0000, 0.0000, 5.1517]],
  "species": ["Cd", "Fe", "Sc", "Sc", "Sc"],
  "frac_coords": [[0.0000, 0.0000, 0.0000], [0.5000, 0.5000, 0.5000], [0.5000, 0.0000, 0.0000], [0.0000, 0.5000, 0.0000], [0.0000, 0.0000, 0.5000]]
}

=====

{
  "formula": "Ca2ScTc",
  "functional": "PBEsol",
  "state": "relaxed",
  "formation_enthalpy_0k_mev_per_atom": 526,
  "e_above_lowest_polymorph_ev_per_atom": 0.2129,
  "sg": "P4/mmm",
  "lattice": [[-4.2029, -0.2525, -0.8510], [-0.1471, -3.8630, 1.8730], [-0.9978, 2.1220, 4.2981]],
  "species": ["Ca", "Ca", "Tc", "Sc"],
  "frac_coords": [[0.0000, 0.5000, 0.0000], [0.5000, 0.0000, 0.0000], [0.0000, 0.0000, 0.5000], [0.5000, 0.5000, 0.5000]]
}